Entry 1:
Here is ZrInRu2N after structural relaxation from the Alexandria database. Energies are from PBE.

Output
The calculation puts the density of states at the Fermi level at 4.61 states/eV/cell. The calculation puts the uncorrected formation energy at 5.81 eV/f.u.

Cell lengths 4.9923, 4.9923, 4.0936 Å; angles 90.00, 90.00, 90.00 degrees
Space group P4/mmm (No. 123)
Unique sites:
Zr: 0.0000 0.0000 0.0000 x1
In: 0.5000 0.5000 0.5000 x1
Ru: 0.0000 0.5000 0.0000 x2
N: 0.0000 0.0000 0.5000 x1

Entry 2:
Here is PmMg2Co after structural relaxation from the Alexandria database. Energies are from PBE.

Output
For the formation energy, the calculation gives -0.070 eV/atom. The calculation puts the density of states at the Fermi level at 6.81 states/eV/cell.

Cell lengths 4.0062, 8.4670, 5.4226 Å; angles 90.00, 111.65, 90.00 degrees
Space group P2_1/m (No. 11)
Unique sites:
Pm: 0.0637 0.2500 0.1288 x2
Mg: 0.3461 0.0571 0.6918 x4
Co: 0.2353 0.7500 0.4717 x2

Question: Number 1 is which compound?
Answer: ZrInRu2N

What did the first record say?
Here is ZrInRu2N after structural relaxation from the Alexandria database. Energies are from PBE.

Output
The calculation puts the density of states at the Fermi level at 4.61 states/eV/cell. The calculation puts the uncorrected formation energy at 5.81 eV/f.u.

Cell lengths 4.9923, 4.9923, 4.0936 Å; angles 90.00, 90.00, 90.00 degrees
Space group P4/mmm (No. 123)
Unique sites:
Zr: 0.0000 0.0000 0.0000 x1
In: 0.5000 0.5000 0.5000 x1
Ru: 0.0000 0.5000 0.0000 x2
N: 0.0000 0.0000 0.5000 x1